1.
Entry from Alexandria via LeMat-Bulk: Na8Tl3Bi after structural relaxation (GGA-PBE).

Properties
electronic total energy: -23.4 eV/f.u.
space-group type: Cm (8)
formation energy from the elements: -0.16 eV per atom

Lattice parameters (Å, degrees): 8.2389 8.2389 6.0023 111.23 111.23 87.04
With the nearest neighbours (Å) after each atom.
Positions (direct):
Na: 0.0000 0.0000 0.0000  7 Na 3.26-3.54, 2 Bi 3.37-3.47, 3 Tl 3.51-3.54
Na: 0.1751 0.1751 0.6718  4 Tl 3.35-3.51, 7 Na 3.45-3.57, 1 Bi 3.45
Na: 0.2478 0.7517 0.6413  7 Na 3.29-3.57, 4 Tl 3.36-3.53, 1 Bi 3.38
Na: 0.4348 0.9293 0.3240  7 Na 3.29-3.57, 4 Tl 3.36-3.53, 1 Bi 3.38
Na: 0.5079 0.5079 0.0052  4 Tl 3.35-3.52, 7 Na 3.45-3.57, 1 Bi 3.46
Na: 0.6850 0.6850 0.6862  7 Na 3.26-3.54, 2 Bi 3.37-3.46, 3 Tl 3.49-3.56
Na: 0.7517 0.2478 0.6413  7 Na 3.29-3.57, 4 Tl 3.36-3.53, 1 Bi 3.38
Na: 0.9293 0.4348 0.3240  7 Na 3.29-3.57, 4 Tl 3.36-3.53, 1 Bi 3.38
Tl: 0.1013 0.5803 0.9951  10 Na 3.35-3.53, 1 Tl 3.37, 1 Bi 3.58
Tl: 0.3416 0.3416 0.3279  2 Tl 3.37, 10 Na 3.40-3.56
Tl: 0.5803 0.1013 0.9951  10 Na 3.35-3.53, 1 Tl 3.37, 1 Bi 3.58
Bi: 0.8421 0.8421 0.3337  10 Na 3.37-3.47, 2 Tl 3.58



2.
Entry from Alexandria via LeMat-Bulk: Na3Tl3Bi after structural relaxation (GGA-PBE).

Properties
polymorph energy (0 for the lowest one): 0.000 eV/atom
electronic total energy: -16.2 eV/f.u.
space-group type: P2_1/m (11)
formation energy from the elements: -0.18 eV per atom

Lattice parameters (Å, degrees): 9.3608 5.4125 9.3641 90.00 119.98 90.00
With the nearest neighbours (Å) after each atom.
Positions (direct):
Na: 0.0272 0.2500 0.1243  5 Tl 3.37-3.60, 3 Bi 3.39-3.56, 4 Na 3.44-3.53
Na: 0.1241 0.7500 0.5974  5 Tl 3.37-3.60, 3 Bi 3.39-3.56, 4 Na 3.44-3.53
Na: 0.4024 0.7500 0.0269  5 Tl 3.37-3.60, 3 Bi 3.39-3.57, 4 Na 3.44-3.53
Na: 0.5976 0.2500 0.9731  5 Tl 3.37-3.60, 3 Bi 3.39-3.57, 4 Na 3.44-3.53
Na: 0.8759 0.2500 0.4026  5 Tl 3.37-3.60, 3 Bi 3.39-3.56, 4 Na 3.44-3.53
Na: 0.9728 0.7500 0.8757  5 Tl 3.37-3.60, 3 Bi 3.39-3.56, 4 Na 3.44-3.53
Tl: 0.2608 0.7500 0.3126  5 Na 3.37-3.60, 6 Tl 3.39-3.54, 1 Bi 3.52
Tl: 0.3127 0.2500 0.5517  5 Na 3.37-3.60, 6 Tl 3.39-3.54, 1 Bi 3.52
Tl: 0.4482 0.2500 0.2606  5 Na 3.37-3.60, 6 Tl 3.39-3.54, 1 Bi 3.53
Tl: 0.5518 0.7500 0.7394  5 Na 3.37-3.60, 6 Tl 3.39-3.54, 1 Bi 3.53
Tl: 0.6873 0.7500 0.4483  5 Na 3.37-3.60, 6 Tl 3.39-3.54, 1 Bi 3.52
Tl: 0.7392 0.2500 0.6874  5 Na 3.37-3.60, 6 Tl 3.39-3.54, 1 Bi 3.52
Bi: 0.1664 0.2500 0.8330  9 Na 3.39-3.57, 3 Tl 3.52-3.53
Bi: 0.8336 0.7500 0.1670  9 Na 3.39-3.57, 3 Tl 3.52-3.53



3.
Entry from Alexandria via LeMat-Bulk: Na2Tl3Bi4 after structural relaxation (GGA-PBE).

Properties
polymorph energy (0 for the lowest one): 0.012 eV/atom
electronic total energy: -26.3 eV/f.u.
space-group type: P-1 (2)
formation energy from the elements: -0.12 eV per atom

Lattice parameters (Å, degrees): 5.6631 6.3490 9.1344 78.99 86.46 64.12
With the nearest neighbours (Å) after each atom.
Positions (direct):
Na: 0.1984 0.0600 0.3318  6 Bi 3.41-3.80, 5 Tl 3.42-3.72
Na: 0.8016 0.9400 0.6682  6 Bi 3.41-3.80, 5 Tl 3.42-3.72
Tl: 0.0000 0.5000 0.0000  8 Bi 3.54-3.60, 2 Na 3.56
Tl: 0.4826 0.5900 0.6681  3 Bi 3.35-3.37, 4 Na 3.42-3.72, 1 Tl 3.44
Tl: 0.5174 0.4100 0.3319  3 Bi 3.35-3.37, 4 Na 3.42-3.72, 1 Tl 3.44
Bi: 0.1360 0.2768 0.6620  1 Bi 3.13, 2 Tl 3.35-3.36, 3 Na 3.41-3.49
Bi: 0.3091 0.8909 0.9540  3 Bi 3.13-3.28, 1 Tl 3.37
Bi: 0.6909 0.1091 0.0460  3 Bi 3.13-3.28, 1 Tl 3.37
Bi: 0.8640 0.7232 0.3380  1 Bi 3.13, 2 Tl 3.35-3.36, 3 Na 3.41-3.49



4.
Entry from Alexandria via LeMat-Bulk: Na2Tl3Bi2 after structural relaxation (GGA-PBE).

Properties
polymorph energy (0 for the lowest one): 0.000 eV/atom
electronic total energy: -18.6 eV/f.u.
space-group type: C2/m (12)
formation energy from the elements: -0.16 eV per atom

Lattice parameters (Å, degrees): 6.0286 6.0286 7.7670 96.84 96.84 49.61
With the nearest neighbours (Å) after each atom.
Positions (direct):
Na: 0.1364 0.1364 0.4206  3 Na 3.38-3.65, 5 Bi 3.38-3.48, 4 Tl 3.41-3.57
Na: 0.8636 0.8636 0.5794  3 Na 3.38-3.65, 5 Bi 3.38-3.48, 4 Tl 3.41-3.57
Tl: 0.0000 0.0000 0.0000  2 Na 3.41, 6 Tl 3.47-3.51, 4 Bi 3.63
Tl: 0.2878 0.2878 0.8569  5 Tl 3.47-3.54, 3 Na 3.49-3.57, 4 Bi 3.53-3.58
Tl: 0.7122 0.7122 0.1431  5 Tl 3.47-3.54, 3 Na 3.49-3.57, 4 Bi 3.53-3.58
Bi: 0.4227 0.4227 0.3028  1 Bi 3.30, 5 Na 3.38-3.48, 6 Tl 3.53-3.63
Bi: 0.5773 0.5773 0.6972  1 Bi 3.30, 5 Na 3.38-3.48, 6 Tl 3.53-3.63



5.
Entry from Alexandria via LeMat-Bulk: NaTl15Bi4 after structural relaxation (GGA-PBE).

Properties
electronic total energy: -53.1 eV/f.u.
space-group type: P4/mmm (123)
formation energy from the elements: -0.04 eV per atom

Lattice parameters (Å, degrees): 5.0489 5.0489 24.5559 90.00 90.00 90.00
With the nearest neighbours (Å) after each atom.
Positions (direct):
Na: 0.0000 0.0000 0.0000  12 Tl 3.52-3.57
Tl: 0.0000 0.5000 0.0999  2 Bi 3.38, 8 Tl 3.52-3.57, 2 Na 3.52
Tl: 0.0000 0.5000 0.2999  4 Bi 3.48-3.67, 8 Tl 3.51-3.57
Tl: 0.0000 0.5000 0.5000  8 Tl 3.52-3.57, 4 Bi 3.56
Tl: 0.0000 0.5000 0.7001  4 Bi 3.48-3.67, 8 Tl 3.51-3.57
Tl: 0.0000 0.5000 0.9001  2 Bi 3.38, 2 Na 3.52, 8 Tl 3.52-3.57
Tl: 0.5000 0.0000 0.0999  2 Bi 3.38, 8 Tl 3.52-3.57, 2 Na 3.52
Tl: 0.5000 0.0000 0.2999  4 Bi 3.48-3.67, 8 Tl 3.51-3.57
Tl: 0.5000 0.0000 0.5000  8 Tl 3.52-3.57, 4 Bi 3.56
Tl: 0.5000 0.0000 0.7001  4 Bi 3.48-3.67, 8 Tl 3.51-3.57
Tl: 0.5000 0.0000 0.9001  2 Bi 3.38, 2 Na 3.52, 8 Tl 3.52-3.57
Tl: 0.5000 0.5000 0.0000  8 Tl 3.52, 4 Na 3.57
Tl: 0.5000 0.5000 0.2008  8 Tl 3.51-3.54, 4 Bi 3.58
Tl: 0.5000 0.5000 0.4001  8 Tl 3.52, 4 Bi 3.57
Tl: 0.5000 0.5000 0.5999  8 Tl 3.52, 4 Bi 3.57
Tl: 0.5000 0.5000 0.7992  8 Tl 3.51-3.54, 4 Bi 3.58
Bi: 0.0000 0.0000 0.1914  12 Tl 3.38-3.67
Bi: 0.0000 0.0000 0.3976  12 Tl 3.48-3.57
Bi: 0.0000 0.0000 0.6024  12 Tl 3.48-3.57
Bi: 0.0000 0.0000 0.8086  12 Tl 3.38-3.67



6.
Entry from Alexandria via LeMat-Bulk: Na4Tl2Bi after structural relaxation (GGA-PBE).

Properties
polymorph energy (0 for the lowest one): 0.168 eV/atom
electronic total energy: -14.0 eV/f.u.
space-group type: I4/mmm (139)
formation energy from the elements: -0.01 eV per atom

Lattice parameters (Å, degrees): 8.9469 8.9469 8.9469 140.70 140.70 56.79
With the nearest neighbours (Å) after each atom.
Positions (direct):
Na: 0.0000 0.5000 0.5000  2 Bi 3.01
Na: 0.1972 0.1972 0.0000  1 Bi 3.10, 1 Tl 3.21
Na: 0.5000 0.0000 0.5000  2 Bi 3.01
Na: 0.8028 0.8028 0.0000  1 Bi 3.10, 1 Tl 3.21
Tl: 0.4009 0.4009 0.0000  1 Tl 3.12, 5 Na 3.21-3.39
Tl: 0.5991 0.5991 0.0000  1 Tl 3.12, 5 Na 3.21-3.39
Bi: 0.0000 0.0000 0.0000  6 Na 3.01-3.10



7.
Entry from Alexandria via LeMat-Bulk: Na3Tl5Bi after structural relaxation (GGA-PBE).

Properties
electronic total energy: -19.9 eV/f.u.
space-group type: I4/mcm (140)
formation energy from the elements: -0.03 eV per atom

Lattice parameters (Å, degrees): 9.2864 9.2864 9.2864 118.85 118.85 92.01
With the nearest neighbours (Å) after each atom.
Positions (direct):
Na: 0.1108 0.6108 0.7217  1 Na 2.96, 2 Tl 3.01
Na: 0.2500 0.2500 0.0000  2 Tl 3.23
Na: 0.3892 0.1108 0.5000  1 Na 2.96, 2 Tl 3.01
Na: 0.6108 0.8892 0.5000  1 Na 2.96, 2 Tl 3.01
Na: 0.7500 0.7500 0.0000  2 Tl 3.23
Na: 0.8892 0.3892 0.2783  1 Na 2.96, 2 Tl 3.01
Tl: 0.0000 0.0000 0.0000  2 Na 3.23
Tl: 0.0697 0.1585 0.5000  1 Na 3.01, 1 Bi 3.12, 1 Tl 3.17
Tl: 0.1585 0.6585 0.0888  1 Na 3.01, 1 Bi 3.12, 1 Tl 3.17
Tl: 0.3415 0.4303 0.5000  1 Na 3.01, 1 Bi 3.12, 1 Tl 3.17
Tl: 0.4303 0.9303 0.0888  1 Na 3.01, 1 Bi 3.12, 1 Tl 3.17
Tl: 0.5000 0.5000 0.0000  2 Na 3.23
Tl: 0.5697 0.0697 0.9112  1 Na 3.01, 1 Bi 3.12, 1 Tl 3.17
Tl: 0.6585 0.5697 0.5000  1 Na 3.01, 1 Bi 3.12, 1 Tl 3.17
Tl: 0.8415 0.3415 0.9112  1 Na 3.01, 1 Bi 3.12, 1 Tl 3.17
Tl: 0.9303 0.8415 0.5000  1 Na 3.01, 1 Bi 3.12, 1 Tl 3.17
Bi: 0.2500 0.7500 0.5000  4 Tl 3.12
Bi: 0.7500 0.2500 0.5000  4 Tl 3.12



8.
Entry from Alexandria via LeMat-Bulk: NaTl2Bi3 after structural relaxation (GGA-PBE).

Properties
polymorph energy (0 for the lowest one): 0.000 eV/atom
electronic total energy: -18.2 eV/f.u.
space-group type: Cmcm (63)
formation energy from the elements: -0.09 eV per atom

Lattice parameters (Å, degrees): 7.5965 7.5965 6.7368 90.00 90.00 97.79
With the nearest neighbours (Å) after each atom.
Positions (direct):
Na: 0.2360 0.7640 0.7500  2 Tl 3.31, 6 Bi 3.46-3.59
Na: 0.7640 0.2360 0.2500  2 Tl 3.31, 6 Bi 3.46-3.59
Tl: 0.1033 0.5594 0.2500  1 Na 3.31, 1 Tl 3.37, 6 Bi 3.52-3.54
Tl: 0.4406 0.8967 0.2500  1 Na 3.31, 1 Tl 3.37, 6 Bi 3.52-3.54
Tl: 0.5594 0.1033 0.7500  1 Na 3.31, 1 Tl 3.37, 6 Bi 3.52-3.54
Tl: 0.8967 0.4406 0.7500  1 Na 3.31, 1 Tl 3.37, 6 Bi 3.52-3.54
Bi: 0.1655 0.1655 0.0000  4 Bi 3.31-3.37, 4 Tl 3.52-3.54, 2 Na 3.59
Bi: 0.1655 0.1655 0.5000  4 Bi 3.31-3.37, 4 Tl 3.52-3.54, 2 Na 3.59
Bi: 0.5000 0.5000 0.0000  4 Bi 3.34-3.37, 2 Na 3.46, 4 Tl 3.53
Bi: 0.5000 0.5000 0.5000  4 Bi 3.34-3.37, 2 Na 3.46, 4 Tl 3.53
Bi: 0.8345 0.8345 0.0000  4 Bi 3.31-3.37, 4 Tl 3.52-3.54, 2 Na 3.59
Bi: 0.8345 0.8345 0.5000  4 Bi 3.31-3.37, 4 Tl 3.52-3.54, 2 Na 3.59



> Look up the electronic total energy of the first one.

-23.4 eV/f.u.



> formation energy from the elements of number 7 (Na3Tl5Bi)?

-0.03 eV per atom



Please write out number 8 again, unchanged.
Entry from Alexandria via LeMat-Bulk: NaTl2Bi3 after structural relaxation (GGA-PBE).

Properties
polymorph energy (0 for the lowest one): 0.000 eV/atom
electronic total energy: -18.2 eV/f.u.
space-group type: Cmcm (63)
formation energy from the elements: -0.09 eV per atom

Lattice parameters (Å, degrees): 7.5965 7.5965 6.7368 90.00 90.00 97.79
With the nearest neighbours (Å) after each atom.
Positions (direct):
Na: 0.2360 0.7640 0.7500  2 Tl 3.31, 6 Bi 3.46-3.59
Na: 0.7640 0.2360 0.2500  2 Tl 3.31, 6 Bi 3.46-3.59
Tl: 0.1033 0.5594 0.2500  1 Na 3.31, 1 Tl 3.37, 6 Bi 3.52-3.54
Tl: 0.4406 0.8967 0.2500  1 Na 3.31, 1 Tl 3.37, 6 Bi 3.52-3.54
Tl: 0.5594 0.1033 0.7500  1 Na 3.31, 1 Tl 3.37, 6 Bi 3.52-3.54
Tl: 0.8967 0.4406 0.7500  1 Na 3.31, 1 Tl 3.37, 6 Bi 3.52-3.54
Bi: 0.1655 0.1655 0.0000  4 Bi 3.31-3.37, 4 Tl 3.52-3.54, 2 Na 3.59
Bi: 0.1655 0.1655 0.5000  4 Bi 3.31-3.37, 4 Tl 3.52-3.54, 2 Na 3.59
Bi: 0.5000 0.5000 0.0000  4 Bi 3.34-3.37, 2 Na 3.46, 4 Tl 3.53
Bi: 0.5000 0.5000 0.5000  4 Bi 3.34-3.37, 2 Na 3.46, 4 Tl 3.53
Bi: 0.8345 0.8345 0.0000  4 Bi 3.31-3.37, 4 Tl 3.52-3.54, 2 Na 3.59
Bi: 0.8345 0.8345 0.5000  4 Bi 3.31-3.37, 4 Tl 3.52-3.54, 2 Na 3.59